A geometry-optimized SiMoAs2 structure. Source: Alexandria, functional PBE-GGA.

Geometry as POSCAR:
```
SiMoAs2
1.0
5.0239 0.0000 0.0000
0.0000 3.6912 0.0000
0.0000 0.0000 3.6912
Si Mo As
1 1 2
Cartesian
2.5119 0.0000 1.8456
2.5119 1.8456 0.0000
0.0000 1.8456 1.8456
0.0000 0.0000 0.0000
```

Computed properties:
- Formation energy (no corrections): 0.494 eV/atom
- DOS at the Fermi energy: 0.704 states/eV/atom

A geometry-optimized SiMo2As structure. Source: Alexandria, functional PBE-GGA.

Geometry as POSCAR:
```
SiMo2As
1.0
-3.3804 3.0194 1.2392
-1.0256 -1.9948 2.0629
2.5984 1.7031 2.9386
Si As Mo
1 1 2
Cartesian
0.9613 0.1339 2.2960
-0.6916 1.0071 4.5684
-1.4733 1.1559 2.0732
-0.8430 -1.7098 1.8667
```

Computed properties:
- Formation energy (no corrections): -0.031 eV/atom
- ΔE to the lowest computed polymorph: 232 meV/atom
- DOS at the Fermi energy: 0.791 states/eV/atom